Entry 1:
! AlTc2W (GGA-PBE, relaxed); values from VASP
&SYSTEM
  ibrav = 0, nat = 4, ntyp = 3
/
ATOMIC_SPECIES
Al 26.98 Al.upf
Tc 98.00 Tc.upf
W 183.84 W.upf
ATOMIC_POSITIONS angstrom
Al 0.0000 0.0000 0.0000
Tc 1.5255 0.0000 2.1316
Tc 1.5255 0.0000 6.5480
W 0.0000 0.0000 4.3398
CELL_PARAMETERS angstrom
1.5255 -2.2708 0.0000
1.5255 2.2708 0.0000
0.0000 0.0000 8.6797
! SG = Cmmm, No. 65
! E_form = -18.3 kJ/mol of formula units


Entry 2:
! AlTc2W (GGA-PBE, relaxed); values from VASP
&SYSTEM
  ibrav = 0, nat = 4, ntyp = 3
/
ATOMIC_SPECIES
Al 26.98 Al.upf
Tc 98.00 Tc.upf
W 183.84 W.upf
ATOMIC_POSITIONS angstrom
Al 0.0000 0.0000 0.0000
Tc 0.0000 0.0000 13.2919
Tc 0.0000 0.0000 20.1350
W 0.0000 0.0000 6.6604
CELL_PARAMETERS angstrom
1.3960 0.8060 8.9658
-1.3960 0.8060 8.9658
0.0000 -1.6120 8.9658
! SG = R3m, No. 160
! E_form = 2.6 kJ/mol of formula units


Entry 3:
! AlTcW2 (GGA-PBE, relaxed); values from VASP
&SYSTEM
  ibrav = 0, nat = 4, ntyp = 3
/
ATOMIC_SPECIES
Al 26.98 Al.upf
Tc 98.00 Tc.upf
W 183.84 W.upf
ATOMIC_POSITIONS angstrom
Al 0.0000 0.0000 0.0000
Tc 1.5799 2.1796 0.0000
W 0.0000 2.1796 2.2190
W 1.5799 0.0000 2.2190
CELL_PARAMETERS angstrom
3.1598 0.0000 0.0000
0.0000 4.3591 0.0000
0.0000 0.0000 4.4381
! SG = Pmmm, No. 47
! E_form = -10.2 kJ/mol of formula units